The following is a GGA-PBE calculation of crystalline Tb4Pm3Pr5 at its relaxed geometry, from Alexandria.

POSCAR file:
```
Tb4Pm3Pr5
1.0
-4.108 -0.422 4.426
-6.997 -4.452 -2.780
3.947 -5.328 7.295
Tb Pm Pr
4 3 5
Direct
0.860 0.222 0.058
0.164 0.050 0.622
0.836 0.950 0.378
0.140 0.778 0.942
0.519 0.689 0.273
0.000 0.500 0.500
0.481 0.311 0.727
0.623 0.953 0.800
0.500 0.500 0.500
0.212 0.462 0.114
0.788 0.538 0.886
0.377 0.047 0.200
```

Values from the calculation:
**V**: 35.0 Å³/atom
**ρ**: 7.0 g/cm³
**Energy of formation from the pure elements**: 0.21 eV/atom
**Polymorph energy (0 for the lowest one)**: 2.34 eV per formula unit
**Calculated total energy**: -4.51 eV/atom


The following is a GGA-PBE calculation of crystalline Tb4Pm8Pr at its relaxed geometry, from Alexandria.

POSCAR file:
```
Tb4Pm8Pr
1.0
6.517 0.000 -3.516
-4.206 6.093 0.000
1.280 0.885 10.171
Tb Pm Pr
4 8 1
Direct
0.000 0.000 0.000
0.000 0.500 0.000
0.500 0.500 0.000
0.500 0.000 0.000
0.566 0.783 0.349
0.434 0.217 0.651
0.498 0.249 0.300
0.949 0.198 0.700
0.502 0.751 0.700
0.949 0.751 0.700
0.051 0.249 0.300
0.051 0.802 0.300
0.000 0.500 0.500
```

Values from the calculation:
**V**: 34.2 Å³/atom
**ρ**: 7.2 g/cm³
**Energy of formation from the pure elements**: 0.18 eV/atom
**Calculated total energy**: -4.54 eV/atom


The following is a GGA-PBE calculation of crystalline Tb4PmPr6 at its relaxed geometry, from Alexandria.

POSCAR file:
```
Tb4PmPr6
1.0
-3.294 9.172 2.440
0.725 -6.269 -7.817
-2.770 -9.655 0.196
Tb Pm Pr
4 1 6
Direct
0.000 0.637 0.009
0.372 0.363 0.363
0.000 0.009 0.637
0.628 0.991 0.991
0.000 0.000 0.000
0.000 0.815 0.457
0.000 0.457 0.815
0.358 0.543 0.543
0.500 0.500 0.000
0.642 0.185 0.185
0.500 0.000 0.500
```

Values from the calculation:
**V**: 35.5 Å³/atom
**ρ**: 6.9 g/cm³
**Energy of formation from the pure elements**: 0.28 eV/atom
**Polymorph energy (0 for the lowest one)**: 1.54 eV per formula unit
**Calculated total energy**: -4.44 eV/atom


The following is a GGA-PBE calculation of crystalline Tb16Pm7Pr6 at its relaxed geometry, from Alexandria.

POSCAR file:
```
Tb16Pm7Pr6
1.0
-11.040 2.143 1.197
-5.976 -5.384 7.950
-3.714 5.640 9.072
Tb Pm Pr
16 7 6
Direct
0.871 0.871 0.386
0.871 0.871 0.871
0.871 0.386 0.871
0.386 0.871 0.871
0.129 0.129 0.129
0.129 0.129 0.614
0.129 0.614 0.129
0.614 0.129 0.129
0.651 0.651 0.046
0.651 0.651 0.651
0.651 0.046 0.651
0.046 0.651 0.651
0.349 0.349 0.349
0.349 0.349 0.954
0.349 0.954 0.349
0.954 0.349 0.349
0.000 0.000 0.000
0.500 0.000 0.500
0.000 0.500 0.000
0.000 0.500 0.500
0.500 0.000 0.000
0.000 0.000 0.500
0.500 0.500 0.000
0.267 0.733 0.267
0.733 0.267 0.733
0.733 0.267 0.267
0.267 0.733 0.733
0.733 0.733 0.267
0.267 0.267 0.733
```

Values from the calculation:
**V**: 35.3 Å³/atom
**ρ**: 7.1 g/cm³
**Energy of formation from the pure elements**: 0.23 eV/atom
**Calculated total energy**: -4.46 eV/atom


The following is a GGA-PBE calculation of crystalline Tb12Pm6Pr at its relaxed geometry, from Alexandria.

POSCAR file:
```
Tb12Pm6Pr
1.0
8.543 0.693 0.830
-0.610 8.550 0.830
-0.610 -0.711 8.560
Tb Pm Pr
12 6 1
Direct
0.774 0.540 0.437
0.437 0.774 0.540
0.540 0.437 0.774
0.226 0.460 0.563
0.563 0.226 0.460
0.460 0.563 0.226
0.013 0.205 0.356
0.795 0.644 0.987
0.644 0.987 0.795
0.987 0.795 0.644
0.205 0.356 0.013
0.356 0.013 0.205
0.741 0.909 0.311
0.689 0.259 0.091
0.091 0.689 0.259
0.259 0.091 0.689
0.311 0.741 0.909
0.909 0.311 0.741
0.000 0.000 0.000
```

Values from the calculation:
**V**: 33.6 Å³/atom
**ρ**: 7.6 g/cm³
**Energy of formation from the pure elements**: 0.15 eV/atom
**Polymorph energy (0 for the lowest one)**: 0.00 eV per formula unit
**Calculated total energy**: -4.53 eV/atom


The following is a GGA-PBE calculation of crystalline Tb4Pm2Pr5 at its relaxed geometry, from Alexandria.

POSCAR file:
```
Tb4Pm2Pr5
1.0
3.520 0.000 -0.665
-0.206 11.752 -1.089
-0.091 0.222 9.174
Tb Pm Pr
4 2 5
Direct
0.360 0.202 0.720
0.967 0.740 0.933
0.640 0.798 0.280
0.033 0.260 0.067
0.716 0.353 0.433
0.284 0.647 0.567
0.904 0.464 0.808
0.096 0.536 0.192
0.824 0.929 0.647
0.500 0.000 0.000
0.176 0.071 0.353
```

Values from the calculation:
**V**: 34.5 Å³/atom
**ρ**: 7.1 g/cm³
**Energy of formation from the pure elements**: 0.07 eV/atom
**Polymorph energy (0 for the lowest one)**: 0.00 eV per formula unit
**Calculated total energy**: -4.65 eV/atom


The following is a GGA-PBE calculation of crystalline Tb2Pm5Pr4 at its relaxed geometry, from Alexandria.

POSCAR file:
```
Tb2Pm5Pr4
1.0
-0.984 -3.458 -0.105
7.805 -2.474 8.332
-9.849 4.602 2.404
Tb Pm Pr
2 5 4
Direct
0.797 0.797 0.594
0.203 0.203 0.406
0.179 0.470 0.359
0.821 0.530 0.641
0.179 0.888 0.359
0.500 0.000 0.000
0.821 0.112 0.641
0.590 0.590 0.180
0.000 0.258 0.000
0.410 0.410 0.820
0.000 0.742 0.000
```

Values from the calculation:
**V**: 35.5 Å³/atom
**ρ**: 6.8 g/cm³
**Energy of formation from the pure elements**: 0.19 eV/atom
**Polymorph energy (0 for the lowest one)**: 1.07 eV per formula unit
**Calculated total energy**: -4.54 eV/atom


The following is a GGA-PBE calculation of crystalline Tb2Pm4Pr at its relaxed geometry, from Alexandria.

POSCAR file:
```
Tb2Pm4Pr
1.0
6.169 0.000 -0.385
0.000 6.694 0.000
-2.529 0.000 11.621
Tb Pm Pr
4 8 2
Direct
0.597 0.750 0.000
0.403 0.250 0.000
0.293 0.250 0.441
0.707 0.750 0.559
0.646 0.497 0.287
0.999 0.750 0.848
0.001 0.250 0.152
0.646 0.003 0.287
0.854 0.250 0.562
0.354 0.997 0.713
0.354 0.503 0.713
0.146 0.750 0.438
0.163 0.750 0.150
0.837 0.250 0.850
```

Values from the calculation:
**V**: 33.8 Å³/atom
**ρ**: 7.3 g/cm³
**Energy of formation from the pure elements**: 0.12 eV/atom
**Polymorph energy (0 for the lowest one)**: 0.21 eV per formula unit
**Calculated total energy**: -4.60 eV/atom